KTa3CuO9: single point on PBEsol structure, SCAN.

total energy: -22.6486 eV per atom
total magnetization: 1.0 μB per formula unit
E_form (uncorrected): -2.69 eV per atom
crystal system: orthorhombic

POSCAR file:
```
KTa3CuO9
1.0
-0.369 -5.071 -5.674
-2.768 -6.171 5.695
-9.626 2.683 -1.771
K Ta Cu O
4 12 4 36
Cartesian
-2.554 0.129 0.050
-9.839 -3.618 3.873
-9.855 -6.200 1.067
-2.908 -2.359 -2.818
-3.874 -5.787 -2.249
-9.073 -5.308 -2.339
-8.889 -2.772 0.498
-3.689 -3.251 0.588
-6.707 -7.583 -0.504
-6.243 -3.556 -4.133
-9.679 -0.012 -1.962
-2.902 -6.056 2.999
-3.084 -8.548 0.211
-9.860 -2.503 -4.750
-6.055 -0.977 -1.247
-6.520 -5.003 2.382
-1.384 -3.085 2.847
-6.381 -4.280 -0.875
-1.568 -5.621 0.010
-6.197 -1.744 1.962
-0.301 -4.130 -4.621
-4.929 -0.253 -2.669
-0.069 -0.941 -1.053
-5.066 -2.136 -4.776
-2.186 -4.974 -2.695
-10.733 -5.734 -1.460
-8.067 -3.890 1.834
-4.483 -1.746 -0.315
-4.696 -4.669 -3.585
-8.279 -6.813 -1.436
-10.577 -3.586 0.945
-2.029 -2.825 -0.291
-5.633 -6.722 -2.006
-7.365 -5.073 -3.366
-9.796 -1.809 -1.011
-2.833 -4.916 1.313
-5.397 -3.486 1.616
-7.130 -1.837 0.255
-9.930 -3.644 -3.063
-2.966 -6.750 -0.740
-5.042 -8.392 0.155
-7.905 -2.703 -4.743
-7.720 -0.167 -1.906
-4.858 -5.856 2.992
-3.011 -2.237 2.195
-9.382 -1.251 1.728
-8.323 -4.133 -0.880
-4.439 -4.426 -0.871
-5.787 0.593 -0.154
-6.607 -4.081 4.077
-3.113 -7.642 1.917
-9.649 -0.917 -3.668
-6.259 -2.760 -2.242
-6.503 -5.799 0.491
-2.501 -4.328 4.031
-9.893 0.840 -0.107
```